# Tl2MoAsO6

Tl2MoAsO6 after structural relaxation (PBE with a Hubbard U, Alexandria).

Lattice parameters (Å, degrees): 5.777 5.777 8.155 90.00 90.00 90.00
Space group I4/mmm (No. 139)
Asymmetric unit:
Tl1 0.000 0.500 0.250
Mo1 0.000 0.000 0.000
As1 0.000 0.000 0.500
O1 0.000 0.000 0.241
O2 0.240 0.240 0.000

- final energy (Ha/atom) = -0.205